1.
TaZn2Br: relaxed, PBE.

offset from the most stable computed form: 1.43 eV/f.u.
total magnetization: 0.000 μB per cell
total energy: -14.2 eV for the cell shown

Unit cell a=5.799 b=5.799 c=4.534 alpha=101.11 beta=101.11 gamma=29.89
Fractional positions:
Ta 0.000 0.000 0.000
Zn 0.276 0.276 0.780
Zn 0.724 0.724 0.220
Br 0.500 0.500 0.500



2.
TaZnBr: relaxed, PBE.

offset from the most stable computed form: 0.00 eV/f.u.
total magnetization: 0.000 μB per cell
total energy: -14.7 eV for the cell shown

Unit cell a=3.196 b=3.196 c=7.048 alpha=90.00 beta=90.00 gamma=120.00
Fractional positions:
Ta 0.000 0.000 0.000
Zn 0.667 0.333 0.289
Br 0.333 0.667 0.731



3.
TaZnBr3: relaxed, PBE.

offset from the most stable computed form: 3.69 eV/f.u.
total magnetization: 3.764 μB per cell
total energy: -14.8 eV for the cell shown

Unit cell a=5.106 b=5.106 c=5.106 alpha=90.00 beta=90.00 gamma=90.00
Fractional positions:
Ta 0.000 0.000 0.000
Zn 0.500 0.500 0.500
Br 0.000 0.500 0.500
Br 0.500 0.000 0.500
Br 0.500 0.500 0.000



4.
TaZn2Br: relaxed, PBE.

offset from the most stable computed form: 1.45 eV/f.u.
total magnetization: 0.000 μB per cell
total energy: -14.2 eV for the cell shown

Unit cell a=5.879 b=5.879 c=5.879 alpha=149.80 beta=133.88 gamma=56.13
Fractional positions:
Ta 0.000 0.000 0.000
Zn 0.230 0.730 0.500
Zn 0.770 0.270 0.500
Br 0.500 0.500 0.000



5.
TaZnBr4: relaxed, PBE.

total magnetization: 2.699 μB per cell
total energy: -12.5 eV for the cell shown

Unit cell a=6.122 b=6.122 c=6.122 alpha=60.00 beta=60.00 gamma=60.00
Fractional positions:
Ta 0.000 0.000 0.000
Zn 0.750 0.750 0.750
Br 0.374 0.374 0.374
Br 0.374 0.374 0.879
Br 0.374 0.879 0.374
Br 0.879 0.374 0.374



6.
TaZn2Br: relaxed, PBE.

offset from the most stable computed form: 2.12 eV/f.u.
total magnetization: 0.000 μB per cell
total energy: -13.5 eV for the cell shown

Unit cell a=5.525 b=5.525 c=5.525 alpha=139.58 beta=139.58 gamma=58.49
Fractional positions:
Ta 0.000 0.000 0.000
Zn 0.250 0.750 0.500
Zn 0.750 0.250 0.500
Br 0.500 0.500 0.000



7.
TaZnBr: relaxed, PBE.

offset from the most stable computed form: 1.35 eV/f.u.
total magnetization: 0.000 μB per cell
total energy: -13.3 eV for the cell shown

Unit cell a=4.581 b=4.581 c=3.048 alpha=90.00 beta=90.00 gamma=120.00
Fractional positions:
Ta 0.000 0.000 0.000
Zn 0.667 0.333 0.500
Br 0.333 0.667 0.000



8.
TaZnBr: relaxed, PBE.

offset from the most stable computed form: 3.29 eV/f.u.
total magnetization: 0.000 μB per cell
total energy: -11.4 eV for the cell shown

Unit cell a=4.391 b=4.391 c=4.391 alpha=60.00 beta=60.00 gamma=60.00
Fractional positions:
Ta 0.000 0.000 0.000
Zn 0.500 0.500 0.500
Br 0.250 0.250 0.250



9.
TaZn2Br: relaxed, PBE.

offset from the most stable computed form: 0.82 eV/f.u.
total magnetization: 0.000 μB per cell
total energy: -14.8 eV for the cell shown

Unit cell a=4.892 b=4.892 c=5.248 alpha=99.79 beta=99.79 gamma=35.95
Fractional positions:
Ta 0.000 0.000 0.000
Zn 0.274 0.274 0.702
Zn 0.528 0.528 0.526
Br 0.739 0.739 0.165



10.
Ta4ZnBr: relaxed, PBE.

total magnetization: 0.000 μB per cell
total energy: -45.4 eV for the cell shown

Unit cell a=5.555 b=5.555 c=5.555 alpha=60.00 beta=60.00 gamma=60.00
Fractional positions:
Ta 0.123 0.123 0.123
Ta 0.123 0.123 0.631
Ta 0.123 0.631 0.123
Ta 0.631 0.123 0.123
Zn 0.750 0.750 0.750
Br 0.500 0.500 0.500



11.
TaZn2Br: relaxed, PBE.

offset from the most stable computed form: 3.50 eV/f.u.
total magnetization: 1.898 μB per cell
total energy: -12.1 eV for the cell shown

Unit cell a=4.806 b=4.806 c=4.806 alpha=60.00 beta=60.00 gamma=60.00
Fractional positions:
Ta 0.000 0.000 0.000
Zn 0.250 0.250 0.250
Zn 0.750 0.750 0.750
Br 0.500 0.500 0.500



12.
TaZn2Br: relaxed, PBE.

offset from the most stable computed form: 1.86 eV/f.u.
total magnetization: 0.000 μB per cell
total energy: -13.8 eV for the cell shown

Unit cell a=5.313 b=5.313 c=5.313 alpha=136.03 beta=136.03 gamma=63.93
Fractional positions:
Ta 0.000 0.000 0.000
Zn 0.250 0.750 0.500
Zn 0.500 0.500 0.000
Br 0.750 0.250 0.500



13.
TaZn2Br: relaxed, PBE.

offset from the most stable computed form: 2.20 eV/f.u.
total magnetization: 0.000 μB per cell
total energy: -26.9 eV for the cell shown

Unit cell a=6.082 b=6.082 c=6.082 alpha=100.80 beta=100.80 gamma=128.70
Fractional positions:
Ta 0.000 0.000 0.000
Ta 0.750 0.250 0.500
Zn 0.104 0.625 0.979
Zn 0.375 0.354 0.479
Zn 0.646 0.125 0.021
Zn 0.875 0.896 0.521
Br 0.250 0.750 0.500
Br 0.500 0.500 0.000



14.
TaZn2Br: relaxed, PBE.

offset from the most stable computed form: 0.00 eV/f.u.
total magnetization: 0.000 μB per cell
total energy: -15.6 eV for the cell shown

Unit cell a=7.595 b=7.595 c=7.595 alpha=156.76 beta=146.89 gamma=40.85
Fractional positions:
Ta 0.000 0.000 0.000
Zn 0.156 0.656 0.500
Zn 0.553 0.553 0.000
Br 0.850 0.350 0.500



15.
TaZn2Br: relaxed, PBE.

offset from the most stable computed form: 2.35 eV/f.u.
total magnetization: 0.000 μB per cell
total energy: -13.3 eV for the cell shown

Unit cell a=4.642 b=4.642 c=4.642 alpha=60.00 beta=60.00 gamma=60.00
Fractional positions:
Ta 0.000 0.000 0.000
Zn 0.250 0.250 0.250
Zn 0.500 0.500 0.500
Br 0.750 0.750 0.750



16.
TaZn3Br: relaxed, PBE.

offset from the most stable computed form: 2.36 eV/f.u.
total magnetization: 2.182 μB per cell
total energy: -10.1 eV for the cell shown

Unit cell a=4.865 b=4.865 c=4.865 alpha=90.00 beta=90.00 gamma=90.00
Fractional positions:
Ta 0.000 0.000 0.000
Zn 0.000 0.500 0.500
Zn 0.500 0.000 0.500
Zn 0.500 0.500 0.000
Br 0.500 0.500 0.500



17.
TaZnBr: relaxed, PBE.

offset from the most stable computed form: 2.80 eV/f.u.
total magnetization: 0.003 μB per cell
total energy: -11.9 eV for the cell shown

Unit cell a=4.484 b=4.484 c=4.484 alpha=60.00 beta=60.00 gamma=60.00
Fractional positions:
Ta 0.000 0.000 0.000
Zn 0.750 0.750 0.750
Br 0.250 0.250 0.250



18.
TaZn2Br: relaxed, PBE.

offset from the most stable computed form: 0.20 eV/f.u.
total magnetization: 0.000 μB per cell
total energy: -15.4 eV for the cell shown

Unit cell a=3.061 b=3.061 c=8.538 alpha=90.00 beta=90.00 gamma=90.00
Fractional positions:
Ta 0.000 0.000 0.000
Zn 0.000 0.000 0.390
Zn 0.500 0.500 0.215
Br 0.500 0.500 0.797



19.
TaZn2Br: relaxed, PBE.

offset from the most stable computed form: 0.29 eV/f.u.
total magnetization: 0.000 μB per cell
total energy: -15.4 eV for the cell shown

Unit cell a=8.652 b=8.652 c=8.652 alpha=21.31 beta=21.31 gamma=21.31
Fractional positions:
Ta 0.000 0.000 0.000
Zn 0.250 0.250 0.250
Zn 0.750 0.750 0.750
Br 0.500 0.500 0.500



20.
TaZnBr: relaxed, PBE.

offset from the most stable computed form: 0.47 eV/f.u.
total magnetization: 0.000 μB per cell
total energy: -14.2 eV for the cell shown

Unit cell a=7.146 b=7.146 c=7.146 alpha=155.08 beta=155.08 gamma=35.53
Fractional positions:
Ta 0.000 0.000 0.000
Zn 0.625 0.625 0.000
Br 0.370 0.370 0.000